A relaxed Pm6HoEr12 crystal. Source: Alexandria via LeMat-Bulk, functional PBE-GGA.

The structure in POSCAR format:
```
Pm6HoEr12
1.0
6.5827 3.8005 4.1850
-6.5827 3.8005 4.1850
0.0000 -7.6010 4.1850
Pm Ho Er
6 1 12
direct
0.1562 0.5977 0.5977 Pm
0.4023 0.4023 0.8438 Pm
0.4023 0.8438 0.4023 Pm
0.5977 0.1562 0.5977 Pm
0.5977 0.5977 0.1562 Pm
0.8438 0.4023 0.4023 Pm
0.5000 0.5000 0.5000 Ho
0.0000 0.2568 0.7432 Er
0.0000 0.7432 0.2568 Er
0.1451 0.1451 0.4182 Er
0.1451 0.4182 0.1451 Er
0.2568 0.0000 0.7432 Er
0.2568 0.7432 0.0000 Er
0.4182 0.1451 0.1451 Er
0.5818 0.8549 0.8549 Er
0.7432 0.0000 0.2568 Er
0.7432 0.2568 0.0000 Er
0.8549 0.5818 0.8549 Er
0.8549 0.8549 0.5818 Er
```

Summary:
polymorph energy (0 for the lowest one) = 94 meV/atom
total magnetic moment = 0.0109 μB per atom
total energy = -4.405 eV/atom
Fermi-level density of states = 30.68 states/eV/f.u.
formation energy from the elements = 0.22 eV per atom
crystal system = trigonal
density = 8041 kg/m3

***

A relaxed PmHoEr4 crystal. Source: Alexandria via LeMat-Bulk, functional PBE-GGA.

The structure in POSCAR format:
```
PmHoEr4
1.0
0.0000 4.6275 4.6275
4.6275 0.0000 4.6275
4.6275 4.6275 0.0000
Pm Ho Er
1 1 4
direct
0.0000 0.0000 0.0000 Pm
0.7500 0.7500 0.7500 Ho
0.3754 0.3754 0.3754 Er
0.3754 0.3754 0.8738 Er
0.3754 0.8738 0.3754 Er
0.8738 0.3754 0.3754 Er
```

Summary:
polymorph energy (0 for the lowest one) = 224 meV/atom
total magnetic moment = 0.2008 μB per atom
total energy = -4.318 eV/atom
Fermi-level density of states = 11.71 states/eV/f.u.
formation energy from the elements = 0.28 eV per atom
crystal system = cubic
density = 8202 kg/m3

***

A relaxed Pm6Ho3Er crystal. Source: Alexandria via LeMat-Bulk, functional PBE-GGA.

The structure in POSCAR format:
```
Pm6Ho3Er
1.0
5.4944 -9.6342 0.0000
5.4944 9.6342 0.0000
0.0000 0.0000 6.2999
Pm Ho Er
12 6 2
direct
0.0386 0.9614 0.5000 Pm
0.0566 0.4783 0.0435 Pm
0.2790 0.7210 0.7527 Pm
0.2881 0.3750 0.8559 Pm
0.3750 0.2881 0.3559 Pm
0.4783 0.0566 0.5435 Pm
0.5217 0.9434 0.0435 Pm
0.6250 0.7119 0.8559 Pm
0.7119 0.6250 0.3559 Pm
0.7210 0.2790 0.2527 Pm
0.9434 0.5217 0.5435 Pm
0.9614 0.0386 0.0000 Pm
0.0546 0.2806 0.4338 Ho
0.2806 0.0546 0.9338 Ho
0.3864 0.6136 0.3242 Ho
0.6136 0.3864 0.8242 Ho
0.7194 0.9454 0.4338 Ho
0.9454 0.7194 0.9338 Ho
0.1976 0.8024 0.2841 Er
0.8024 0.1976 0.7841 Er
```

Summary:
polymorph energy (0 for the lowest one) = 17 meV/atom
total magnetic moment = 0.0000 μB per atom
total energy = -4.537 eV/atom
Fermi-level density of states = 13.71 states/eV/f.u.
formation energy from the elements = 0.14 eV per atom
crystal system = orthorhombic
density = 7629 kg/m3

***

A relaxed Pm7Ho2Er2 crystal. Source: Alexandria via LeMat-Bulk, functional PBE-GGA.

The structure in POSCAR format:
```
Pm7Ho2Er2
1.0
4.2797 -5.4584 0.0000
4.2797 5.4584 0.0000
-1.9123 0.0000 7.9586
Pm Ho Er
7 2 2
direct
0.0000 0.0000 0.0000 Pm
0.0908 0.5165 0.8289 Pm
0.1988 0.1988 0.4853 Pm
0.4835 0.9092 0.1711 Pm
0.5165 0.0908 0.8289 Pm
0.8012 0.8012 0.5147 Pm
0.9092 0.4835 0.1711 Pm
0.4142 0.4142 0.1787 Ho
0.5858 0.5858 0.8213 Ho
0.2879 0.7121 0.5000 Er
0.7121 0.2879 0.5000 Er
```

Summary:
polymorph energy (0 for the lowest one) = 23 meV/atom
total magnetic moment = 0.0000 μB per atom
total energy = -4.550 eV/atom
Fermi-level density of states = 15.93 states/eV/f.u.
formation energy from the elements = 0.14 eV per atom
crystal system = monoclinic
density = 7500 kg/m3

***

A relaxed Pm12HoEr2 crystal. Source: Alexandria via LeMat-Bulk, functional PBE-GGA.

The structure in POSCAR format:
```
Pm12HoEr2
1.0
3.5634 -5.7600 0.0000
3.5634 5.7600 0.0000
-2.8692 0.0000 24.7219
Pm Ho Er
24 2 4
direct
0.0269 0.5931 0.6993 Pm
0.0768 0.5426 0.8269 Pm
0.1288 0.6609 0.0564 Pm
0.1684 0.1684 0.0773 Pm
0.1798 0.1798 0.6630 Pm
0.1982 0.7578 0.5699 Pm
0.2422 0.8018 0.4301 Pm
0.3391 0.8712 0.9436 Pm
0.3598 0.3598 0.3815 Pm
0.3669 0.3669 0.9247 Pm
0.4069 0.9731 0.3007 Pm
0.4574 0.9232 0.1731 Pm
0.5426 0.0768 0.8269 Pm
0.5931 0.0269 0.6993 Pm
0.6331 0.6331 0.0753 Pm
0.6402 0.6402 0.6185 Pm
0.6609 0.1288 0.0564 Pm
0.7578 0.1982 0.5699 Pm
0.8018 0.2422 0.4301 Pm
0.8202 0.8202 0.3370 Pm
0.8316 0.8316 0.9227 Pm
0.8712 0.3391 0.9436 Pm
0.9232 0.4574 0.1731 Pm
0.9731 0.4069 0.3007 Pm
0.2564 0.2564 0.5163 Ho
0.7436 0.7436 0.4837 Ho
0.0351 0.0351 0.7934 Er
0.4496 0.4496 0.2266 Er
0.5504 0.5504 0.7734 Er
0.9649 0.9649 0.2066 Er
```

Summary:
total magnetic moment = 0.0000 μB per atom
total energy = -4.609 eV/atom
Fermi-level density of states = 19.02 states/eV/f.u.
formation energy from the elements = 0.10 eV per atom
crystal system = monoclinic
density = 7329 kg/m3

***

A relaxed Pm4HoEr10 crystal. Source: Alexandria via LeMat-Bulk, functional PBE-GGA.

The structure in POSCAR format:
```
Pm4HoEr10
1.0
-5.5999 5.5999 3.9516
5.5999 -5.5999 3.9516
5.5999 5.5999 -3.9516
Pm Ho Er
4 1 10
direct
0.2281 0.2281 0.4562 Pm
0.2281 0.7719 0.0000 Pm
0.7719 0.2281 0.0000 Pm
0.7719 0.7719 0.5438 Pm
0.0000 0.0000 0.0000 Ho
0.0853 0.2936 0.7917 Er
0.2500 0.7500 0.5000 Er
0.2936 0.0853 0.7917 Er
0.2936 0.5019 0.2083 Er
0.4981 0.7064 0.7917 Er
0.5019 0.2936 0.2083 Er
0.7064 0.4981 0.7917 Er
0.7064 0.9147 0.2083 Er
0.7500 0.2500 0.5000 Er
0.9147 0.7064 0.2083 Er
```

Summary:
total magnetic moment = 0.0018 μB per atom
total energy = -4.337 eV/atom
Fermi-level density of states = 21.26 states/eV/f.u.
formation energy from the elements = 0.28 eV per atom
crystal system = tetragonal
density = 8099 kg/m3

***

A relaxed Pm12HoEr7 crystal. Source: Alexandria via LeMat-Bulk, functional PBE-GGA.

The structure in POSCAR format:
```
Pm12HoEr7
1.0
6.0722 3.5058 5.2663
-6.0722 3.5058 5.2663
0.0000 -7.0115 5.2663
Pm Ho Er
12 1 7
direct
0.0103 0.8874 0.3620 Pm
0.1126 0.6380 0.9897 Pm
0.2269 0.3500 0.7552 Pm
0.2448 0.7731 0.6500 Pm
0.3500 0.7552 0.2269 Pm
0.3620 0.0103 0.8874 Pm
0.6380 0.9897 0.1126 Pm
0.6500 0.2448 0.7731 Pm
0.7552 0.2269 0.3500 Pm
0.7731 0.6500 0.2448 Pm
0.8874 0.3620 0.0103 Pm
0.9897 0.1126 0.6380 Pm
0.5000 0.5000 0.5000 Ho
0.0000 0.0000 0.0000 Er
0.1097 0.4305 0.3517 Er
0.3517 0.1097 0.4305 Er
0.4305 0.3517 0.1097 Er
0.5695 0.6483 0.8903 Er
0.6483 0.8903 0.5695 Er
0.8903 0.5695 0.6483 Er
```

Summary:
polymorph energy (0 for the lowest one) = 0 meV/atom
total magnetic moment = 0.0000 μB per atom
total energy = -4.443 eV/atom
Fermi-level density of states = 38.05 states/eV/f.u.
formation energy from the elements = 0.23 eV per atom
crystal system = trigonal
density = 7593 kg/m3

***

A relaxed Pm2Ho8Er crystal. Source: Alexandria via LeMat-Bulk, functional PBE-GGA.

The structure in POSCAR format:
```
Pm2Ho8Er
1.0
9.0423 -2.5044 0.0000
9.0423 2.5044 0.0000
-2.0910 0.0000 7.6494
Pm Ho Er
2 8 1
direct
0.2270 0.2270 0.1371 Pm
0.7730 0.7730 0.8629 Pm
0.0447 0.0447 0.2278 Ho
0.1351 0.1351 0.6785 Ho
0.3189 0.3189 0.5918 Ho
0.4102 0.4102 0.0467 Ho
0.5898 0.5898 0.9533 Ho
0.6811 0.6811 0.4082 Ho
0.8649 0.8649 0.3215 Ho
0.9553 0.9553 0.7722 Ho
0.5000 0.5000 0.5000 Er
```

Summary:
polymorph energy (0 for the lowest one) = 0 meV/atom
total magnetic moment = 0.0002 μB per atom
total energy = -4.587 eV/atom
Fermi-level density of states = 14.70 states/eV/f.u.
formation energy from the elements = 0.02 eV per atom
crystal system = monoclinic
density = 8516 kg/m3

***

A relaxed Pm3Ho3Er crystal. Source: Alexandria via LeMat-Bulk, functional PBE-GGA.

The structure in POSCAR format:
```
Pm3Ho3Er
1.0
9.5852 0.0000 0.0000
0.0000 5.7263 0.0000
-4.7682 0.0000 8.3244
Pm Ho Er
6 6 2
direct
0.0256 0.2500 0.1226 Pm
0.1664 0.2500 0.8313 Pm
0.4038 0.7500 0.0229 Pm
0.5962 0.2500 0.9771 Pm
0.8336 0.7500 0.1687 Pm
0.9744 0.7500 0.8774 Pm
0.1189 0.7500 0.5938 Ho
0.2649 0.7500 0.3143 Ho
0.4548 0.2500 0.2673 Ho
0.5452 0.7500 0.7327 Ho
0.7351 0.2500 0.6857 Ho
0.8811 0.2500 0.4062 Ho
0.3110 0.2500 0.5467 Er
0.6890 0.7500 0.4533 Er
```

Summary:
polymorph energy (0 for the lowest one) = 0 meV/atom
total magnetic moment = 0.0000 μB per atom
total energy = -4.632 eV/atom
Fermi-level density of states = 12.37 states/eV/f.u.
formation energy from the elements = 0.02 eV per atom
crystal system = monoclinic
density = 7974 kg/m3

***

Question: Number 3 is which compound?
Answer: Pm6Ho3Er

***

Question: What is the density in the second record?
Answer: 8202 kg/m3